#one
## TbSbN (PBE)

Data for a geometry-optimized TbSbN structure.

Computed properties:
- total moment (μB/cell) = 0.002

Cell and atoms, written as CIF:
```
data_TbSbN
_cell_length_a 4.135
_cell_length_b 4.135
_cell_length_c 7.850
_cell_angle_alpha 90.00
_cell_angle_beta 90.00
_cell_angle_gamma 90.00
_space_group_name_H-M_alt 'P 4/n m m'
_space_group_IT_number 129
loop_
_space_group_symop_operation_xyz
'x,y,z'
'-x,-y,-z'
'-y+1/2,x,z'
'y+1/2,-x,-z'
'-x+1/2,-y+1/2,z'
'x+1/2,y+1/2,-z'
'y,-x+1/2,z'
'-y,x+1/2,-z'
'x+1/2,-y,-z'
'-x+1/2,y,z'
'-y,-x,-z'
'y,x,z'
'-x,y+1/2,-z'
'x,-y+1/2,z'
'y+1/2,x+1/2,-z'
'-y+1/2,-x+1/2,z'
loop_
_atom_site_label
_atom_site_fract_x
_atom_site_fract_y
_atom_site_fract_z
Tb1 0.250 0.250 0.121
Sb1 0.250 0.250 0.565
N1 0.250 0.750 0.000
```

#two
## TbSbN (PBE)

Data for a geometry-optimized TbSbN structure.

Computed properties:
- total moment (μB/cell) = 0.000

Cell and atoms, written as CIF:
```
data_TbSbN
_cell_length_a 3.488
_cell_length_b 3.488
_cell_length_c 20.479
_cell_angle_alpha 90.00
_cell_angle_beta 90.00
_cell_angle_gamma 90.00
_space_group_name_H-M_alt 'I 4/m m m'
_space_group_IT_number 139
_space_group_name_Hall '-I 4 2'
loop_
_atom_site_label
_atom_site_fract_x
_atom_site_fract_y
_atom_site_fract_z
Tb1 0.000 0.000 0.189
Sb1 0.000 0.000 0.418
N1 0.000 0.000 0.303
```

Stability summary - winner: #two; margin: 131 meV per atom.